[1]
A geometry-optimized NdTmHgPt structure. Source: Alexandria via LeMat-Bulk, functional PBE-GGA.

Geometry as CIF:
```
data_NdTmHgPt
_chemical_formula_sum 'Nd4 Tm4 Hg4 Pt4'
_symmetry_space_group_name_H-M 'F -4 3 m'
_symmetry_Int_Tables_number 216
_symmetry_space_group_name_Hall 'F -4 2 3'
_cell_length_a 7.280
_cell_length_b 7.280
_cell_length_c 7.280
_cell_angle_alpha 90.00
_cell_angle_beta 90.00
_cell_angle_gamma 90.00
loop_
_atom_site_label
_atom_site_fract_x
_atom_site_fract_y
_atom_site_fract_z
Nd1 0.000 0.000 0.000
Tm1 0.000 0.000 0.500
Hg1 0.250 0.250 0.250
Pt1 0.250 0.250 0.750
```

Values from the calculation:
D(E_F) = 12.4 states/eV/cell
Energy of formation from the pure elements = -0.76 eV per atom


[2]
A geometry-optimized Nb2Br5 structure. Source: Alexandria via LeMat-Bulk, functional PBE-GGA.

Geometry as CIF:
```
data_Nb2Br5
_chemical_formula_sum 'Nb8 Br20'
_symmetry_space_group_name_H-M 'C m c m'
_symmetry_Int_Tables_number 63
_symmetry_space_group_name_Hall '-C 2c 2'
_cell_length_a 10.698
_cell_length_b 14.416
_cell_length_c 6.039
_cell_angle_alpha 90.00
_cell_angle_beta 90.00
_cell_angle_gamma 90.00
loop_
_atom_site_label
_atom_site_fract_x
_atom_site_fract_y
_atom_site_fract_z
Nb1 0.134 0.000 0.000
Br1 0.000 0.120 0.250
Br2 0.177 0.148 0.750
Br3 0.184 0.427 0.750
```


[3]
A geometry-optimized BaTbAu2 structure. Source: Alexandria via LeMat-Bulk, functional PBE-GGA.

Geometry as CIF:
```
data_BaTbAu2
_chemical_formula_sum 'Ba1 Tb1 Au2'
_symmetry_space_group_name_H-M 'P 4/m m m'
_symmetry_Int_Tables_number 123
_symmetry_space_group_name_Hall '-P 4 2'
_cell_length_a 5.447
_cell_length_b 5.447
_cell_length_c 3.712
_cell_angle_alpha 90.00
_cell_angle_beta 90.00
_cell_angle_gamma 90.00
loop_
_atom_site_label
_atom_site_fract_x
_atom_site_fract_y
_atom_site_fract_z
Ba1 0.000 0.000 0.000
Tb1 0.500 0.500 0.000
Au1 0.000 0.500 0.500
```

Values from the calculation:
D(E_F) = 2.3 states/eV/cell
Energy of formation from the pure elements = -0.64 eV per atom


[4]
A geometry-optimized TlTcAg2 structure. Source: Alexandria via LeMat-Bulk, functional PBE-GGA.

Geometry as CIF:
```
data_TlTcAg2
_chemical_formula_sum 'Tl2 Tc2 Ag4'
_symmetry_space_group_name_H-M 'C m m m'
_symmetry_Int_Tables_number 65
_symmetry_space_group_name_Hall '-C 2 2'
_cell_length_a 5.679
_cell_length_b 9.105
_cell_length_c 2.852
_cell_angle_alpha 90.00
_cell_angle_beta 90.00
_cell_angle_gamma 90.00
loop_
_atom_site_label
_atom_site_fract_x
_atom_site_fract_y
_atom_site_fract_z
Tl1 0.000 0.000 0.000
Tc1 0.000 0.500 0.000
Ag1 0.250 0.250 0.500
```

Values from the calculation:
D(E_F) = 3.4 states/eV/cell
Energy of formation from the pure elements = 0.55 eV per atom


[5]
A geometry-optimized ErBPd4 structure. Source: Alexandria via LeMat-Bulk, functional PBE-GGA.

Geometry as CIF:
```
data_ErBPd4
_chemical_formula_sum 'Er4 B4 Pd16'
_symmetry_space_group_name_H-M 'C m c m'
_symmetry_Int_Tables_number 63
_symmetry_space_group_name_Hall '-C 2c 2'
_cell_length_a 4.370
_cell_length_b 15.083
_cell_length_c 5.822
_cell_angle_alpha 90.00
_cell_angle_beta 90.00
_cell_angle_gamma 90.00
loop_
_atom_site_label
_atom_site_fract_x
_atom_site_fract_y
_atom_site_fract_z
Er1 0.000 0.111 0.250
B1 0.000 0.396 0.250
Pd1 0.000 0.098 0.750
Pd2 0.000 0.302 0.003
Pd3 0.000 0.500 0.000
```

Values from the calculation:
D(E_F) = 7.4 states/eV/cell
Energy of formation from the pure elements = -0.63 eV per atom


[6]
A geometry-optimized Er3Np3TiN8 structure. Source: Alexandria via LeMat-Bulk, functional PBE-GGA.

Geometry as CIF:
```
data_Er3Np3TiN8
_chemical_formula_sum 'Er9 Np9 Ti3 N24'
_symmetry_space_group_name_H-M 'R -3 m'
_symmetry_Int_Tables_number 166
_symmetry_space_group_name_Hall '-R 3 2"'
_cell_length_a 6.6998
_cell_length_b 6.6998
_cell_length_c 16.6204
_cell_angle_alpha 90.00
_cell_angle_beta 90.00
_cell_angle_gamma 120.00
loop_
_atom_site_label
_atom_site_fract_x
_atom_site_fract_y
_atom_site_fract_z
Er1 0.0000 0.5000 0.0000
Np1 0.0000 0.5000 0.5000
Ti1 0.0000 0.0000 0.5000
N1 0.0000 0.0000 0.2518
N2 0.0244 0.5122 0.2380
```

Values from the calculation:
D(E_F) = 49.4 states/eV/cell


[7]
A geometry-optimized Hf3TaN2 structure. Source: Alexandria via LeMat-Bulk, functional PBE-GGA.

Geometry as CIF:
```
data_Hf3TaN2
_chemical_formula_sum 'Hf12 Ta4 N8'
_symmetry_space_group_name_H-M 'C m c m'
_symmetry_Int_Tables_number 63
_symmetry_space_group_name_Hall '-C 2c 2'
_cell_length_a 7.559
_cell_length_b 7.403
_cell_length_c 6.429
_cell_angle_alpha 90.00
_cell_angle_beta 90.00
_cell_angle_gamma 90.00
loop_
_atom_site_label
_atom_site_fract_x
_atom_site_fract_y
_atom_site_fract_z
Hf1 0.000 0.207 0.250
Hf2 0.206 0.500 0.000
Ta1 0.000 0.203 0.750
N1 0.000 0.000 0.000
N2 0.000 0.495 0.750
```

Values from the calculation:
D(E_F) = 7.7 states/eV/cell


[8]
A geometry-optimized La3In2Ir structure. Source: Alexandria via LeMat-Bulk, functional PBE-GGA.

Geometry as CIF:
```
data_La3In2Ir
_chemical_formula_sum 'La12 In8 Ir4'
_symmetry_space_group_name_H-M 'C 1 2/m 1'
_symmetry_Int_Tables_number 12
_symmetry_space_group_name_Hall '-C 2y'
_cell_length_a 8.082
_cell_length_b 11.745
_cell_length_c 8.155
_cell_angle_alpha 90.00
_cell_angle_beta 101.29
_cell_angle_gamma 90.00
loop_
_atom_site_label
_atom_site_fract_x
_atom_site_fract_y
_atom_site_fract_z
La1 0.178 0.000 0.176
La2 0.226 0.184 0.770
In1 0.000 0.000 0.500
In2 0.000 0.378 0.500
In3 0.000 0.500 0.000
Ir1 0.000 0.196 0.000
```

Values from the calculation:
D(E_F) = 19.7 states/eV/cell
Energy of formation from the pure elements = -0.47 eV per atom


The calculation returns the following DFT total energy values, one per record and in order: -4.658 -4.893 -3.917 -4.062 -5.969 -9.803 -10.876 -5.328 eV per atom.